Entry 1:
VASP calculation (GGA-PBE) on CaInFeSn2 after structural relaxation.

Lattice parameters (Å, degrees): 5.7839 4.5270 5.7839 90.00 90.00 90.00
Each line ends with the local moment (μB).
Fractional positions:
Fe1 0.0000 0.5000 0.0000  -0.13
Ca1 0.0000 0.0000 0.0000  0.01
Sn1 0.0000 0.0000 0.5000  0.01
Sn2 0.5000 0.0000 0.0000  0.03
In1 0.5000 0.5000 0.5000  -0.01

Formation enthalpy at 0 K, kJ/mol of formula units: 568
D(E_F), states/eV per cell: 6.64


Entry 2:
VASP calculation (GGA-PBE) on Y12Pt3O5 after structural relaxation.

Lattice parameters (Å, degrees): 13.2063 13.2063 13.2063 109.47 109.47 109.47
Each line ends with the local moment (μB).
Fractional positions:
Pt1 0.7500 0.3750 0.1250  0.07
Pt2 0.8750 0.7500 0.1250  0.07
Pt3 0.3750 0.7500 0.6250  0.07
Pt4 0.2500 0.1250 0.3750  0.07
Pt5 0.8750 0.1250 0.2500  0.07
Pt6 0.3750 0.6250 0.2500  0.07
Pt7 0.6250 0.3750 0.7500  0.07
Pt8 0.1250 0.8750 0.7500  0.07
Pt9 0.7500 0.8750 0.6250  0.07
Pt10 0.6250 0.2500 0.3750  0.07
Pt11 0.1250 0.2500 0.8750  0.07
Pt12 0.2500 0.6250 0.8750  0.07
O1 0.1250 0.3750 0.2500  0.02
O2 0.0000 0.5000 0.0000  -0.01
O3 0.0000 0.0000 0.0000  -0.01
O4 0.3750 0.2500 0.1250  0.02
O5 0.5000 0.0000 0.5000  -0.01
O6 0.5000 0.5000 0.0000  -0.01
O7 0.1250 0.7500 0.3750  0.02
O8 0.7500 0.1250 0.8750  0.02
O9 0.7500 0.6250 0.3750  0.02
O10 0.3750 0.1250 0.7500  0.02
O11 0.6250 0.8750 0.2500  0.02
O12 0.5000 0.5000 0.5000  -0.01
O13 0.5000 0.0000 0.0000  -0.01
O14 0.0000 0.0000 0.5000  -0.01
O15 0.2500 0.3750 0.6250  0.02
O16 0.2500 0.8750 0.1250  0.02
O17 0.0000 0.5000 0.5000  -0.01
O18 0.8750 0.2500 0.6250  0.02
O19 0.6250 0.7500 0.8750  0.02
O20 0.8750 0.6250 0.7500  0.02
Y1 0.7065 0.1169 0.0210  0.12
Y2 0.3145 0.5210 0.4041  0.12
Y3 0.9790 0.3831 0.2935  0.12
Y4 0.5210 0.2065 0.1169  0.12
Y5 0.5895 0.7065 0.6855  0.12
Y6 0.9790 0.5959 0.1855  0.12
Y7 0.3145 0.7935 0.4105  0.12
Y8 0.0959 0.9105 0.1169  0.12
Y9 0.5959 0.9790 0.6855  0.12
Y10 0.7065 0.5895 0.1855  0.12
Y11 0.7935 0.4790 0.3831  0.12
Y12 0.8145 0.9041 0.0210  0.12
Y13 0.1169 0.7065 0.5210  0.12
Y14 0.3831 0.4041 0.0895  0.12
Y15 0.0895 0.9041 0.3831  0.12
Y16 0.4105 0.1169 0.5959  0.12
Y17 0.0895 0.1855 0.2065  0.12
Y18 0.4790 0.6855 0.0959  0.12
Y19 0.8145 0.9105 0.2935  0.12
Y20 0.1169 0.4105 0.0959  0.12
Y21 0.3831 0.9790 0.7935  0.12
Y22 0.5959 0.6169 0.4105  0.12
Y23 0.9041 0.8145 0.5210  0.12
Y24 0.7935 0.3145 0.9105  0.12
Y25 0.4041 0.3831 0.5895  0.12
Y26 0.0959 0.1855 0.4790  0.12
Y27 0.2065 0.6855 0.0895  0.12
Y28 0.1855 0.0895 0.7065  0.12
Y29 0.6169 0.0210 0.2065  0.12
Y30 0.8831 0.5895 0.9041  0.12
Y31 0.5210 0.3145 0.9041  0.12
Y32 0.5895 0.8831 0.4041  0.12
Y33 0.9105 0.8145 0.7935  0.12
Y34 0.9105 0.0959 0.6169  0.12
Y35 0.8831 0.2935 0.4790  0.12
Y36 0.1855 0.0959 0.9790  0.12
Y37 0.6169 0.5959 0.9105  0.12
Y38 0.4041 0.0210 0.3145  0.12
Y39 0.2935 0.4105 0.8145  0.12
Y40 0.2065 0.5210 0.6169  0.12
Y41 0.9041 0.0895 0.8831  0.12
Y42 0.6855 0.2065 0.5895  0.12
Y43 0.4790 0.7935 0.8831  0.12
Y44 0.0210 0.4041 0.8145  0.12
Y45 0.4105 0.2935 0.3145  0.12
Y46 0.0210 0.6169 0.7065  0.12
Y47 0.6855 0.4790 0.5959  0.12
Y48 0.2935 0.8831 0.9790  0.12

ΔE_f (raw), eV per atom: -1.7710
D(E_F), states/eV per cell: 61.23